## Cs5NaAg2 (PBE)

Data for crystalline Cs5NaAg2 at its relaxed geometry.

a = 12.269 Å, b = 12.269 Å, c = 12.269 Å
α = 131.17°, β = 131.17°, γ = 71.55°
Sites, in units of the cell vectors:
Cs1 0.000 0.000 0.000
Cs2 0.038 0.538 0.837
Cs3 0.201 0.038 0.500
Cs4 0.299 0.799 0.837
Cs5 0.462 0.299 0.500
Cs6 0.500 0.500 0.000
Cs7 0.538 0.701 0.500
Cs8 0.701 0.201 0.163
Cs9 0.799 0.962 0.500
Cs10 0.962 0.462 0.163
Na1 0.250 0.250 0.000
Na2 0.750 0.750 0.000
Ag1 0.103 0.397 0.500
Ag2 0.397 0.897 0.294
Ag3 0.603 0.103 0.706
Ag4 0.897 0.603 0.500

## Properties
The calculation puts the total magnetization at 0.0 μB per formula unit. The calculation puts the raw total energy at -11.2 eV per formula unit. As for the calculated formation energy: 0.013 eV per atom.